Here is a geometry-optimized Tm2Ga3Pd2 structure from the Alexandria database. Energies are from PBE-GGA.

- Formation enthalpy at 0 K: -0.78 eV per atom
- Volume: 18.81 Å³/atom
- Crystal system: monoclinic
- Size of the total moment: 0.000 μB/cell

a b c (Å): 9.8694 4.3580 6.6508
angles (deg): 90.00 112.99 90.00
Space group C2/m (No. 12)
Symmetry-distinct sites (fractional):
Tm1 0.1524 0.0000 0.2734
Ga1 0.0000 0.5000 0.5000
Ga2 0.1125 0.5000 0.9414
Pd1 0.1366 0.0000 0.7167

Here is a geometry-optimized Ce3Tl3Hg2 structure from the Alexandria database. Energies are from PBE-GGA.

- Formation enthalpy at 0 K: -0.25 eV per atom
- Volume: 27.54 Å³/atom
- Crystal system: monoclinic
- Size of the total moment: 6.719 μB/cell

a b c (Å): 19.0470 4.7591 5.0390
angles (deg): 90.00 105.28 90.00
Space group C2/m (No. 12)
Symmetry-distinct sites (fractional):
Ce1 0.0000 0.0000 0.0000
Ce2 0.1362 0.0000 0.6366
Tl1 0.0000 0.5000 0.5000
Tl2 0.1293 0.5000 0.1294
Hg1 0.2467 0.0000 0.2468

Here is a geometry-optimized CsCu2Pd structure from the Alexandria database. Energies are from PBE-GGA.

- Formation enthalpy at 0 K: 0.89 eV per atom
- Volume: 21.84 Å³/atom
- Crystal system: cubic
- Size of the total moment: 0.000 μB/cell

a b c (Å): 7.0433 7.0433 7.0433
angles (deg): 90.00 90.00 90.00
Space group Fm-3m (No. 225)
Symmetry-distinct sites (fractional):
Cs1 0.0000 0.0000 0.0000
Cu1 0.2500 0.2500 0.2500
Pd1 0.0000 0.0000 0.5000

Here is a geometry-optimized Ge2Sb2Br structure from the Alexandria database. Energies are from PBE-GGA.

- ΔE to the lowest computed polymorph: 0.000 eV/atom
- Volume: 27.79 Å³/atom
- Crystal system: tetragonal
- Formation energy (no corrections): 0.08 eV/atom
- Size of the total moment: 0.000 μB/cell

a b c (Å): 4.5216 4.5216 13.5907
angles (deg): 90.00 90.00 90.00
Space group I4/mmm (No. 139)
Symmetry-distinct sites (fractional):
Ge1 0.0000 0.0000 0.1102
Sb1 0.0000 0.5000 0.2500
Br1 0.0000 0.0000 0.5000

Here is a geometry-optimized SiIr2Rh structure from the Alexandria database. Energies are from PBE-GGA.

- Volume: 14.12 Å³/atom
- Crystal system: tetragonal
- Formation energy (no corrections): -0.08 eV/atom
- Size of the total moment: 0.000 μB/cell

a b c (Å): 4.5160 4.5160 2.7703
angles (deg): 90.00 90.00 90.00
Space group P4/mmm (No. 123)
Symmetry-distinct sites (fractional):
Si1 0.0000 0.0000 0.0000
Ir1 0.0000 0.5000 0.5000
Rh1 0.5000 0.5000 0.0000

Here is a geometry-optimized NaCaTlBr6 structure from the Alexandria database. Energies are from PBE-GGA.

- Volume: 33.96 Å³/atom
- Crystal system: trigonal
- Formation energy (no corrections): -1.21 eV/atom
- Size of the total moment: 0.000 μB/cell

a b c (Å): 7.2823 7.2823 13.3100
angles (deg): 90.00 90.00 120.00
Space group P-31c (No. 163)
Symmetry-distinct sites (fractional):
Na1 0.0000 0.0000 0.0000
Ca1 0.3333 0.6667 0.2500
Tl1 0.3333 0.6667 0.7500
Br1 0.0111 0.3584 0.6282